# Tb8Ga2Pd, optimized geometry, DFT GGA-PBE
# Formation energy ... -355 meV per atom
# Calculated total energy ... -4.7445 eV per atom
data_Tb8Ga2Pd
_chemical_formula_sum 'Tb16 Ga4 Pd2'
_space_group_name_H-M_alt 'C 1 2/m 1'
_space_group_IT_number 12
_space_group_name_Hall '-C 2y'
_cell_length_a 18.471
_cell_length_b 4.965
_cell_length_c 6.647
_cell_angle_alpha 90.00
_cell_angle_beta 101.35
_cell_angle_gamma 90.00
loop_
_atom_site_label
_atom_site_fract_x
_atom_site_fract_y
_atom_site_fract_z
_atom_site_occupancy
Tb1 0.024 0.000 0.274 1
Tb2 0.092 0.500 0.963 1
Tb3 0.154 0.500 0.481 1
Tb4 0.209 0.000 0.819 1
Ga1 0.189 0.000 0.259 1
Pd1 0.000 0.500 0.500 1

# TbGa2Pd, optimized geometry, DFT GGA-PBE
# Formation energy ... -719 meV per atom
# Calculated total energy ... -4.6885 eV per atom
data_TbGa2Pd
_chemical_formula_sum 'Tb3 Ga6 Pd3'
_space_group_name_H-M_alt 'R -3 m'
_space_group_IT_number 166
_space_group_name_Hall '-R 3 2"'
_cell_length_a 4.2770
_cell_length_b 4.2770
_cell_length_c 14.8669
_cell_angle_alpha 90.00
_cell_angle_beta 90.00
_cell_angle_gamma 120.00
loop_
_atom_site_label
_atom_site_fract_x
_atom_site_fract_y
_atom_site_fract_z
_atom_site_occupancy
Tb1 0.0000 0.0000 0.0000 1
Ga1 0.0000 0.0000 0.2181 1
Pd1 0.0000 0.0000 0.5000 1

# Tb4Ga16Pd3, optimized geometry, DFT GGA-PBE
# Formation energy ... -584 meV per atom
# Calculated total energy ... -4.1723 eV per atom
data_Tb4Ga16Pd3
_chemical_formula_sum 'Tb4 Ga16 Pd3'
_space_group_name_H-M_alt 'P 4/m m m'
_space_group_IT_number 123
_space_group_name_Hall '-P 4 2'
_cell_length_a 6.234
_cell_length_b 6.234
_cell_length_c 11.093
_cell_angle_alpha 90.00
_cell_angle_beta 90.00
_cell_angle_gamma 90.00
loop_
_atom_site_label
_atom_site_fract_x
_atom_site_fract_y
_atom_site_fract_z
_atom_site_occupancy
Tb1 0.000 0.500 0.190 1
Ga1 0.000 0.000 0.201 1
Ga2 0.210 0.210 0.000 1
Ga3 0.244 0.244 0.375 1
Ga4 0.500 0.500 0.232 1
Pd1 0.000 0.500 0.500 1
Pd2 0.500 0.500 0.000 1

# TbGa3Pd10, optimized geometry, DFT GGA-PBE
# Formation energy ... -535 meV per atom
# Calculated total energy ... -5.2240 eV per atom
data_TbGa3Pd10
_chemical_formula_sum 'Tb8 Ga24 Pd80'
_space_group_name_H-M_alt 'F m -3 m'
_space_group_IT_number 225
_space_group_name_Hall '-F 4 2 3'
_cell_length_a 12.436
_cell_length_b 12.436
_cell_length_c 12.436
_cell_angle_alpha 90.00
_cell_angle_beta 90.00
_cell_angle_gamma 90.00
loop_
_atom_site_label
_atom_site_fract_x
_atom_site_fract_y
_atom_site_fract_z
_atom_site_occupancy
Tb1 0.250 0.250 0.250 1
Ga1 0.000 0.000 0.228 1
Pd1 0.000 0.172 0.328 1
Pd2 0.121 0.121 0.121 1

# Tb3Ga4Pd2, optimized geometry, DFT GGA-PBE
# Formation energy ... -817 meV per atom
# Calculated total energy ... -4.8598 eV per atom
data_Tb3Ga4Pd2
_chemical_formula_sum 'Tb6 Ga8 Pd4'
_space_group_name_H-M_alt 'C 1 2/m 1'
_space_group_IT_number 12
_space_group_name_Hall '-C 2y'
_cell_length_a 10.700
_cell_length_b 4.415
_cell_length_c 8.516
_cell_angle_alpha 90.00
_cell_angle_beta 113.65
_cell_angle_gamma 90.00
loop_
_atom_site_label
_atom_site_fract_x
_atom_site_fract_y
_atom_site_fract_z
_atom_site_occupancy
Tb1 0.000 0.000 0.000 1
Tb2 0.179 0.500 0.645 1
Ga1 0.020 0.000 0.359 1
Ga2 0.244 0.500 0.082 1
Pd1 0.099 0.500 0.266 1

# TbGa4Pd6, optimized geometry, DFT GGA-PBE
# Formation energy ... -549 meV per atom
# E above lowest polymorph ... 208 meV per atom
# Calculated total energy ... -4.9033 eV per atom
data_TbGa4Pd6
_chemical_formula_sum 'Tb2 Ga8 Pd12'
_space_group_name_H-M_alt 'I -4 2 m'
_space_group_IT_number 121
_space_group_name_Hall 'I -4 2'
_cell_length_a 5.320
_cell_length_b 5.320
_cell_length_c 13.426
_cell_angle_alpha 90.00
_cell_angle_beta 90.00
_cell_angle_gamma 90.00
loop_
_atom_site_label
_atom_site_fract_x
_atom_site_fract_y
_atom_site_fract_z
_atom_site_occupancy
Tb1 0.000 0.000 0.000 1
Ga1 0.187 0.187 0.636 1
Pd1 0.000 0.500 0.000 1
Pd2 0.217 0.217 0.822 1

# TbGa2Pd, optimized geometry, DFT GGA-PBE
# Formation energy ... -732 meV per atom
# Calculated total energy ... -4.7008 eV per atom
data_TbGa2Pd
_chemical_formula_sum 'Tb4 Ga8 Pd4'
_space_group_name_H-M_alt 'P n m a'
_space_group_IT_number 62
_space_group_name_Hall '-P 2ac 2n'
_cell_length_a 8.235
_cell_length_b 6.762
_cell_length_c 5.513
_cell_angle_alpha 90.00
_cell_angle_beta 90.00
_cell_angle_gamma 90.00
loop_
_atom_site_label
_atom_site_fract_x
_atom_site_fract_y
_atom_site_fract_z
_atom_site_occupancy
Tb1 0.039 0.250 0.129 1
Ga1 0.191 0.053 0.619 1
Pd1 0.087 0.750 0.366 1

# TbGa2Pd7, optimized geometry, DFT GGA-PBE
# Formation energy ... -300 meV per atom
# E above lowest polymorph ... 364 meV per atom
# Calculated total energy ... -5.0030 eV per atom
data_TbGa2Pd7
_chemical_formula_sum 'Tb2 Ga4 Pd14'
_space_group_name_H-M_alt 'C m m m'
_space_group_IT_number 65
_space_group_name_Hall '-C 2 2'
_cell_length_a 7.330
_cell_length_b 12.178
_cell_length_c 4.528
_cell_angle_alpha 90.00
_cell_angle_beta 90.00
_cell_angle_gamma 90.00
loop_
_atom_site_label
_atom_site_fract_x
_atom_site_fract_y
_atom_site_fract_z
_atom_site_occupancy
Tb1 0.000 0.000 0.000 1
Ga1 0.000 0.300 0.500 1
Pd1 0.000 0.227 0.000 1
Pd2 0.000 0.500 0.500 1
Pd3 0.188 0.120 0.500 1

# TbGaPd6, optimized geometry, DFT GGA-PBE
# Formation energy ... -663 meV per atom
# E above lowest polymorph ... 0 meV per atom
# Calculated total energy ... -5.5151 eV per atom
data_TbGaPd6
_chemical_formula_sum 'Tb1 Ga1 Pd6'
_space_group_name_H-M_alt 'P 4/m m m'
_space_group_IT_number 123
_space_group_name_Hall '-P 4 2'
_cell_length_a 4.066
_cell_length_b 4.066
_cell_length_c 7.925
_cell_angle_alpha 90.00
_cell_angle_beta 90.00
_cell_angle_gamma 90.00
loop_
_atom_site_label
_atom_site_fract_x
_atom_site_fract_y
_atom_site_fract_z
_atom_site_occupancy
Tb1 0.000 0.000 0.000 1
Ga1 0.000 0.000 0.500 1
Pd1 0.000 0.500 0.267 1
Pd2 0.500 0.500 0.000 1
Pd3 0.500 0.500 0.500 1

# TbThGa2Pd5, optimized geometry, DFT GGA-PBE
# Formation energy ... -806 meV per atom
# Calculated total energy ... -5.7021 eV per atom
data_TbThGa2Pd5
_chemical_formula_sum 'Tb1 Th1 Ga2 Pd5'
_space_group_name_H-M_alt 'P 4/m m m'
_space_group_IT_number 123
_space_group_name_Hall '-P 4 2'
_cell_length_a 4.307
_cell_length_b 4.307
_cell_length_c 9.035
_cell_angle_alpha 90.00
_cell_angle_beta 90.00
_cell_angle_gamma 90.00
loop_
_atom_site_label
_atom_site_fract_x
_atom_site_fract_y
_atom_site_fract_z
_atom_site_occupancy
Tb1 0.000 0.000 0.000 1
Th1 0.000 0.000 0.500 1
Ga1 0.500 0.500 0.361 1
Pd1 0.000 0.500 0.221 1
Pd2 0.500 0.500 0.000 1

# TbThGaPd, optimized geometry, DFT GGA-PBE
# Formation energy ... -563 meV per atom
# Calculated total energy ... -5.6301 eV per atom
data_TbThGaPd
_chemical_formula_sum 'Tb4 Th4 Ga4 Pd4'
_space_group_name_H-M_alt 'F -4 3 m'
_space_group_IT_number 216
_space_group_name_Hall 'F -4 2 3'
_cell_length_a 7.256
_cell_length_b 7.256
_cell_length_c 7.256
_cell_angle_alpha 90.00
_cell_angle_beta 90.00
_cell_angle_gamma 90.00
loop_
_atom_site_label
_atom_site_fract_x
_atom_site_fract_y
_atom_site_fract_z
_atom_site_occupancy
Tb1 0.000 0.000 0.000 1
Th1 0.000 0.000 0.500 1
Ga1 0.250 0.250 0.750 1
Pd1 0.250 0.250 0.250 1

# Tb2TiGa4Pd3, optimized geometry, DFT GGA-PBE
# Formation energy ... -696 meV per atom
# Calculated total energy ... -5.1805 eV per atom
data_Tb2TiGa4Pd3
_chemical_formula_sum 'Tb2 Ti1 Ga4 Pd3'
_space_group_name_H-M_alt 'P -4 m 2'
_space_group_IT_number 115
_space_group_name_Hall 'P -4 -2'
_cell_length_a 4.064
_cell_length_b 4.064
_cell_length_c 11.489
_cell_angle_alpha 90.00
_cell_angle_beta 90.00
_cell_angle_gamma 90.00
loop_
_atom_site_label
_atom_site_fract_x
_atom_site_fract_y
_atom_site_fract_z
_atom_site_occupancy
Tb1 0.000 0.500 0.248 1
Ti1 0.500 0.500 0.000 1
Ga1 0.000 0.000 0.500 1
Ga2 0.000 0.500 0.855 1
Ga3 0.500 0.500 0.500 1
Pd1 0.000 0.000 0.000 1
Pd2 0.000 0.500 0.637 1

# TbTlGaPd, optimized geometry, DFT GGA-PBE
# Formation energy ... -454 meV per atom
# Calculated total energy ... -4.2584 eV per atom
data_TbTlGaPd
_chemical_formula_sum 'Tb4 Tl4 Ga4 Pd4'
_space_group_name_H-M_alt 'F -4 3 m'
_space_group_IT_number 216
_space_group_name_Hall 'F -4 2 3'
_cell_length_a 6.968
_cell_length_b 6.968
_cell_length_c 6.968
_cell_angle_alpha 90.00
_cell_angle_beta 90.00
_cell_angle_gamma 90.00
loop_
_atom_site_label
_atom_site_fract_x
_atom_site_fract_y
_atom_site_fract_z
_atom_site_occupancy
Tb1 0.000 0.000 0.000 1
Tl1 0.000 0.000 0.500 1
Ga1 0.250 0.250 0.750 1
Pd1 0.250 0.250 0.250 1

# TbTmGaPd, optimized geometry, DFT GGA-PBE
# Formation energy ... -716 meV per atom
# E above lowest polymorph ... 34 meV per atom
# Calculated total energy ... -5.0459 eV per atom
data_TbTmGaPd
_chemical_formula_sum 'Tb4 Tm4 Ga4 Pd4'
_space_group_name_H-M_alt 'F -4 3 m'
_space_group_IT_number 216
_space_group_name_Hall 'F -4 2 3'
_cell_length_a 7.069
_cell_length_b 7.069
_cell_length_c 7.069
_cell_angle_alpha 90.00
_cell_angle_beta 90.00
_cell_angle_gamma 90.00
loop_
_atom_site_label
_atom_site_fract_x
_atom_site_fract_y
_atom_site_fract_z
_atom_site_occupancy
Tb1 0.000 0.000 0.000 1
Tm1 0.000 0.000 0.500 1
Ga1 0.250 0.250 0.750 1
Pd1 0.250 0.250 0.250 1

# TbTmGaPd, optimized geometry, DFT GGA-PBE
# Formation energy ... -750 meV per atom
# E above lowest polymorph ... 0 meV per atom
# Calculated total energy ... -5.0800 eV per atom
data_TbTmGaPd
_chemical_formula_sum 'Tb2 Tm2 Ga2 Pd2'
_space_group_name_H-M_alt 'A m m 2'
_space_group_IT_number 38
_space_group_name_Hall 'A 2 -2'
_cell_length_a 4.483
_cell_length_b 3.707
_cell_length_c 10.975
_cell_angle_alpha 90.00
_cell_angle_beta 90.00
_cell_angle_gamma 90.00
loop_
_atom_site_label
_atom_site_fract_x
_atom_site_fract_y
_atom_site_fract_z
_atom_site_occupancy
Tb1 0.000 0.000 0.000 1
Tm1 0.500 0.000 0.284 1
Ga1 0.000 0.000 0.723 1
Pd1 0.500 0.000 0.570 1

# TbZnGa3Pd, optimized geometry, DFT GGA-PBE
# Formation energy ... -286 meV per atom
# Calculated total energy ... -3.6491 eV per atom
data_TbZnGa3Pd
_chemical_formula_sum 'Tb4 Zn4 Ga12 Pd4'
_space_group_name_H-M_alt 'C m c m'
_space_group_IT_number 63
_space_group_name_Hall '-C 2c 2'
_cell_length_a 5.970
_cell_length_b 12.386
_cell_length_c 6.276
_cell_angle_alpha 90.00
_cell_angle_beta 90.00
_cell_angle_gamma 90.00
loop_
_atom_site_label
_atom_site_fract_x
_atom_site_fract_y
_atom_site_fract_z
_atom_site_occupancy
Tb1 0.000 0.194 0.250 1
Zn1 0.000 0.416 0.250 1
Ga1 0.000 0.359 0.750 1
Ga2 0.213 0.000 0.000 1
Pd1 0.000 0.150 0.750 1

# Tb2Zn2GaPd5, optimized geometry, DFT GGA-PBE
# Formation energy ... -698 meV per atom
# Calculated total energy ... -4.7775 eV per atom
data_Tb2Zn2GaPd5
_chemical_formula_sum 'Tb4 Zn4 Ga2 Pd10'
_space_group_name_H-M_alt 'P 4/m b m'
_space_group_IT_number 127
_space_group_name_Hall '-P 4 2ab'
_cell_length_a 9.765
_cell_length_b 9.765
_cell_length_c 3.699
_cell_angle_alpha 90.00
_cell_angle_beta 90.00
_cell_angle_gamma 90.00
loop_
_atom_site_label
_atom_site_fract_x
_atom_site_fract_y
_atom_site_fract_z
_atom_site_occupancy
Tb1 0.175 0.325 0.000 1
Zn1 0.123 0.623 0.000 1
Ga1 0.000 0.000 0.000 1
Pd1 0.000 0.500 0.500 1
Pd2 0.063 0.799 0.500 1

# TbZnGaPd, optimized geometry, DFT GGA-PBE
# Formation energy ... -578 meV per atom
# Calculated total energy ... -4.1086 eV per atom
data_TbZnGaPd
_chemical_formula_sum 'Tb4 Zn4 Ga4 Pd4'
_space_group_name_H-M_alt 'F -4 3 m'
_space_group_IT_number 216
_space_group_name_Hall 'F -4 2 3'
_cell_length_a 6.646
_cell_length_b 6.646
_cell_length_c 6.646
_cell_angle_alpha 90.00
_cell_angle_beta 90.00
_cell_angle_gamma 90.00
loop_
_atom_site_label
_atom_site_fract_x
_atom_site_fract_y
_atom_site_fract_z
_atom_site_occupancy
Tb1 0.000 0.000 0.000 1
Zn1 0.250 0.250 0.750 1
Ga1 0.000 0.000 0.500 1
Pd1 0.250 0.250 0.250 1

# TbZnGa2Pd2, optimized geometry, DFT GGA-PBE
# Formation energy ... -670 meV per atom
# Calculated total energy ... -4.3944 eV per atom
data_TbZnGa2Pd2
_chemical_formula_sum 'Tb1 Zn1 Ga2 Pd2'
_space_group_name_H-M_alt 'P -3 m 1'
_space_group_IT_number 164
_space_group_name_Hall '-P 3 2"'
_cell_length_a 4.3405
_cell_length_b 4.3405
_cell_length_c 6.5932
_cell_angle_alpha 90.00
_cell_angle_beta 90.00
_cell_angle_gamma 120.00
loop_
_atom_site_label
_atom_site_fract_x
_atom_site_fract_y
_atom_site_fract_z
_atom_site_occupancy
Tb1 0.0000 0.0000 0.0000 1
Zn1 0.0000 0.0000 0.5000 1
Ga1 0.3333 0.6667 0.7391 1
Pd1 0.3333 0.6667 0.3378 1

# TbZnGaPd2, optimized geometry, DFT GGA-PBE
# Formation energy ... -567 meV per atom
# Calculated total energy ... -4.4302 eV per atom
data_TbZnGaPd2
_chemical_formula_sum 'Tb4 Zn4 Ga4 Pd8'
_space_group_name_H-M_alt 'C m m e'
_space_group_IT_number 67
_space_group_name_Hall '-C 2a 2'
_cell_length_a 5.266
_cell_length_b 13.282
_cell_length_c 5.476
_cell_angle_alpha 90.00
_cell_angle_beta 90.00
_cell_angle_gamma 90.00
loop_
_atom_site_label
_atom_site_fract_x
_atom_site_fract_y
_atom_site_fract_z
_atom_site_occupancy
Tb1 0.000 0.250 0.227 1
Zn1 0.000 0.000 0.000 1
Ga1 0.250 0.000 0.500 1
Pd1 0.000 0.146 0.706 1

# Tb2ZnGa4Pd3, optimized geometry, DFT GGA-PBE
# Formation energy ... -715 meV per atom
# Calculated total energy ... -4.5373 eV per atom
data_Tb2ZnGa4Pd3
_chemical_formula_sum 'Tb2 Zn1 Ga4 Pd3'
_space_group_name_H-M_alt 'P -4 m 2'
_space_group_IT_number 115
_space_group_name_Hall 'P -4 -2'
_cell_length_a 4.060
_cell_length_b 4.060
_cell_length_c 11.348
_cell_angle_alpha 90.00
_cell_angle_beta 90.00
_cell_angle_gamma 90.00
loop_
_atom_site_label
_atom_site_fract_x
_atom_site_fract_y
_atom_site_fract_z
_atom_site_occupancy
Tb1 0.000 0.500 0.249 1
Zn1 0.000 0.000 0.500 1
Ga1 0.000 0.000 0.000 1
Ga2 0.000 0.500 0.638 1
Ga3 0.500 0.500 0.000 1
Pd1 0.000 0.500 0.858 1
Pd2 0.500 0.500 0.500 1

# TbZnGa2Pd5, optimized geometry, DFT GGA-PBE
# Formation energy ... -543 meV per atom
# Calculated total energy ... -4.7566 eV per atom
data_TbZnGa2Pd5
_chemical_formula_sum 'Tb1 Zn1 Ga2 Pd5'
_space_group_name_H-M_alt 'P 4/m m m'
_space_group_IT_number 123
_space_group_name_Hall '-P 4 2'
_cell_length_a 4.116
_cell_length_b 4.116
_cell_length_c 9.377
_cell_angle_alpha 90.00
_cell_angle_beta 90.00
_cell_angle_gamma 90.00
loop_
_atom_site_label
_atom_site_fract_x
_atom_site_fract_y
_atom_site_fract_z
_atom_site_occupancy
Tb1 0.000 0.000 0.000 1
Zn1 0.000 0.000 0.500 1
Ga1 0.500 0.500 0.372 1
Pd1 0.000 0.500 0.224 1
Pd2 0.500 0.500 0.000 1